[1]
Below is crystalline TmCdAs at its relaxed geometry, with properties calculated at the PBE-GGA level.

Structure (POSCAR):
```
TmCdAs
1.0
-2.251 1.510 3.951
-4.789 0.014 0.172
-2.259 -7.571 4.513
Tm As Cd
2 2 2
Cartesian
-4.621 -5.638 5.333
-4.678 -0.409 3.302
-2.334 -0.682 1.837
-6.965 -5.364 6.799
-6.993 -2.803 5.804
-2.306 -3.243 2.832
```

Output
The uncorrected energy is -11.79 eV/f.u. The formation energy comes out at -0.585 eV per atom. The space group is No. 166.

[2]
Below is crystalline Tm2CdAs at its relaxed geometry, with properties calculated at the PBE-GGA level.

Structure (POSCAR):
```
Tm2CdAs
1.0
3.896 0.000 0.000
1.948 3.374 0.000
1.948 1.125 7.947
Cd Tm As
1 2 1
Cartesian
3.896 2.250 3.973
1.948 1.125 1.670
5.845 3.374 6.277
0.000 0.000 0.000
```

Output
The uncorrected energy is -17.61 eV/f.u. The formation energy comes out at -0.775 eV per atom. The space group is No. 166.

[3]
Below is crystalline UCdAs2 at its relaxed geometry, with properties calculated at the PBE-GGA level.

Structure (POSCAR):
```
UCdAs2
1.0
3.720 0.000 0.000
0.000 4.693 0.000
0.000 0.000 4.693
U As Cd
1 2 1
Cartesian
1.860 2.347 2.347
0.000 2.347 0.000
0.000 0.000 2.347
1.860 0.000 0.000
```

Output
The uncorrected energy is -23.19 eV/f.u. The formation energy comes out at -0.422 eV per atom. The space group is No. 123.

Question: What is the formula in the second record?
Answer: Tm2CdAs

Question: Which of these has the lowest uncorrected energy?
Answer: UCdAs2

Question: The lowest uncorrected energy belongs to which entry?
Answer: UCdAs2